VASP calculation (PBE) on a relaxed ZrGaTe4 crystal.

a b c (Å): 7.856 7.856 6.424
angles (deg): 90.00 90.00 90.00
Positions (direct):
1 Zr 0.000 0.000 0.000
2 Zr 0.000 0.000 0.500
3 Ga 0.000 0.500 0.250
4 Ga 0.500 0.000 0.750
5 Te 0.237 0.244 0.837
6 Te 0.237 0.756 0.663
7 Te 0.244 0.237 0.337
8 Te 0.244 0.763 0.163
9 Te 0.756 0.237 0.163
10 Te 0.756 0.763 0.337
11 Te 0.763 0.244 0.663
12 Te 0.763 0.756 0.837

formation energy (no corrections)	-0.3889	eV/atom
M_tot	0.00	Bohr magnetons per cell

VASP calculation (PBE) on a relaxed HoHW crystal.

a b c (Å): 3.280 3.342 9.049
angles (deg): 90.00 90.00 90.00
Positions (direct):
1 Ho 0.250 0.250 0.156
2 Ho 0.750 0.750 0.844
3 H 0.250 0.250 0.907
4 H 0.750 0.750 0.093
5 W 0.250 0.750 0.441
6 W 0.750 0.250 0.559

M_tot	0.00	Bohr magnetons per cell

VASP calculation (PBE) on a relaxed YZr2As2 crystal.

a b c (Å): 5.793 5.793 5.793
angles (deg): 127.67 127.67 77.16
Positions (direct):
1 Y 0.000 0.000 0.000
2 Zr 0.342 0.342 0.000
3 Zr 0.658 0.658 0.000
4 As 0.250 0.750 0.500
5 As 0.750 0.250 0.500

E above lowest polymorph	0.410	eV/atom
M_tot	0.00	Bohr magnetons per cell

Listing E for the structures above in their given order: -4.41; -6.79; -7.18 eV per atom.